Here is an optimized crystal structure of NaSrTb2Hg4 from Alexandria. Energies are from PBE-GGA.

abc: 5.2925 5.2925 9.3892
angles: 73.63 73.63 60.00
Last column: nearest neighbours and their distance in Å.
Atoms (fractional coordinates):
Sr  0.0000  0.0000  0.0000  8 Hg 3.32-3.36
Hg  0.8737  0.8737  0.3789  4 Tb 3.15-3.22, 3 Na 3.24, 1 Sr 3.36
Hg  0.6177  0.6177  0.1470  1 Na 3.13, 3 Tb 3.23, 3 Sr 3.32
Hg  0.1263  0.1263  0.6211  4 Tb 3.15-3.22, 3 Na 3.24, 1 Sr 3.36
Hg  0.3823  0.3823  0.8530  1 Na 3.13, 3 Tb 3.23, 3 Sr 3.32
Tb  0.7554  0.7554  0.7337  7 Hg 3.15-3.23
Tb  0.2446  0.2446  0.2663  7 Hg 3.15-3.23
Na  0.5000  0.5000  0.5000  8 Hg 3.13-3.24

Its magnetic moment is 0.0 μB/f.u. The value obtained for the density of states at the Fermi level is 5.16 states/eV/f.u. The value obtained for the formation energy is -0.390 eV per atom. As for the space-group type: R-3m (166).